1.
## Nd3SmY4 (PBE)

Data for an optimized crystal structure of Nd3SmY4. Values from VASP.

Energy relative to the elements in eV/atom: 0.130
DOS at the Fermi energy in states/eV per cell: 13.7
Final energy in eV/atom: -5.480
Spin magnetization in Bohr magnetons per cell: 0.0
Calculated volume in Å³/atom: 33.9

```
&SYSTEM
  ibrav = 0, nat = 8, ntyp = 3
/
ATOMIC_SPECIES
Y 88.91 Y.upf
Nd 144.24 Nd.upf
Sm 150.36 Sm.upf
CELL_PARAMETERS angstrom
3.3720 0.0000 0.8736
1.1730 8.6120 2.4170
-0.5187 -1.0355 8.9467
ATOMIC_POSITIONS crystal
Y 0.6340 0.1146 0.6174
Y 0.3660 0.8854 0.3826
Y 0.3660 0.3826 0.8854
Y 0.6340 0.6174 0.1146
Nd 0.7584 0.2416 0.2416
Nd 0.2416 0.7584 0.7584
Nd 0.0000 0.5000 0.5000
Sm 0.5000 0.0000 0.0000
```



2.
## Sm2MgP (PBE)

Data for an optimized crystal structure of Sm2MgP. Values from VASP.

Energy relative to the elements in eV/atom: -0.484
DOS at the Fermi energy in states/eV per cell: 4.9
Final energy in eV/atom: -4.595
Spin magnetization in Bohr magnetons per cell: 0.0
Calculated volume in Å³/atom: 32.6

```
&SYSTEM
  ibrav = 0, nat = 4, ntyp = 3
/
ATOMIC_SPECIES
P 30.97 P.upf
Mg 24.30 Mg.upf
Sm 150.36 Sm.upf
CELL_PARAMETERS angstrom
-0.2142 3.7613 -0.7876
-2.8858 1.3531 -2.1574
-6.6121 3.1379 7.3796
ATOMIC_POSITIONS crystal
P 0.5000 0.5000 0.5000
Mg 0.0000 0.0000 0.0000
Sm 0.1128 0.1128 0.6615
Sm 0.8872 0.8872 0.3385
```



3.
## Sm5Re2O12 (PBE)

Data for an optimized crystal structure of Sm5Re2O12. Values from VASP.

DOS at the Fermi energy in states/eV per cell: 2.7
Final energy in eV/atom: -8.523
Spin magnetization in Bohr magnetons per cell: 0.6
Calculated volume in Å³/atom: 14.2

```
&SYSTEM
  ibrav = 0, nat = 19, ntyp = 3
/
ATOMIC_SPECIES
Sm 150.36 Sm.upf
Re 186.21 Re.upf
O 16.00 O.upf
CELL_PARAMETERS angstrom
-4.4220 -0.9473 -3.5430
5.9831 1.6338 -3.2466
0.3748 -7.5819 1.5594
ATOMIC_POSITIONS crystal
Sm 0.3055 0.6110 0.6434
Sm 0.3141 0.6281 0.1722
Sm 0.0000 0.0000 0.5000
Sm 0.6859 0.3719 0.8278
Sm 0.6945 0.3890 0.3566
Re 0.7866 0.0000 0.0000
Re 0.2134 0.0000 0.0000
O 0.0001 0.0002 0.2021
O 0.0878 0.6765 0.9191
O 0.5887 0.6765 0.9191
O 0.0969 0.6901 0.4241
O 0.5932 0.6901 0.4241
O 0.4988 0.9977 0.8295
O 0.5012 0.0023 0.1705
O 0.9031 0.3099 0.5759
O 0.4068 0.3099 0.5759
O 0.9122 0.3235 0.0809
O 0.4113 0.3235 0.0809
O 0.9999 0.9998 0.7979
```



4.
## MgBeCo2 (PBE)

Data for an optimized crystal structure of MgBeCo2. Values from VASP.

Energy relative to the elements in eV/atom: 0.461
DOS at the Fermi energy in states/eV per cell: 6.7
Final energy in eV/atom: -4.422
Spin magnetization in Bohr magnetons per cell: 4.6
Calculated volume in Å³/atom: 13.5

```
&SYSTEM
  ibrav = 0, nat = 8, ntyp = 3
/
ATOMIC_SPECIES
Be 9.01 Be.upf
Mg 24.30 Mg.upf
Co 58.93 Co.upf
CELL_PARAMETERS angstrom
-0.4859 3.4342 -1.1692
1.0425 -0.9977 -3.3637
-7.4017 -0.5048 -4.1357
ATOMIC_POSITIONS crystal
Be 0.5000 0.5000 0.0000
Be 0.2500 0.7500 0.5000
Mg 0.0000 0.0000 0.0000
Mg 0.7500 0.2500 0.5000
Co 0.5351 0.1250 0.2500
Co 0.2149 0.6250 0.2500
Co 0.3750 0.4649 0.7500
Co 0.8750 0.7851 0.7500
```



5.
## MnCrCl2 (PBE)

Data for an optimized crystal structure of MnCrCl2. Values from VASP.

DOS at the Fermi energy in states/eV per cell: 0.6
Final energy in eV/atom: -5.725
Spin magnetization in Bohr magnetons per cell: 9.0
Calculated volume in Å³/atom: 27.1

```
&SYSTEM
  ibrav = 0, nat = 4, ntyp = 3
/
ATOMIC_SPECIES
Cr 52.00 Cr.upf
Mn 54.94 Mn.upf
Cl 35.45 Cl.upf
CELL_PARAMETERS angstrom
-2.5891 -5.0167 -4.0866
-0.6879 -6.6635 -1.9223
-4.4181 -2.7583 1.7822
ATOMIC_POSITIONS crystal
Cr 0.5835 0.5835 0.6298
Mn 0.1569 0.1569 0.1213
Cl 0.9969 0.9969 0.9877
Cl 0.7627 0.7627 0.7612
```



6.
## LaBe2Tc (PBE)

Data for an optimized crystal structure of LaBe2Tc. Values from VASP.

Energy relative to the elements in eV/atom: 0.012
DOS at the Fermi energy in states/eV per cell: 1.8
Final energy in eV/atom: -5.674
Spin magnetization in Bohr magnetons per cell: 0.0
Calculated volume in Å³/atom: 17.5

```
&SYSTEM
  ibrav = 0, nat = 4, ntyp = 3
/
ATOMIC_SPECIES
Be 9.01 Be.upf
Tc 98.00 Tc.upf
La 138.91 La.upf
CELL_PARAMETERS angstrom
-0.0138 1.6157 3.6523
2.7283 -1.1244 2.6910
4.0062 3.8362 0.4933
ATOMIC_POSITIONS crystal
Be 0.9946 0.9946 0.0155
Be 0.3133 0.3133 0.0598
Tc 0.6897 0.6897 0.9299
La 0.5024 0.5024 0.4949
```



7.
## PmSm3Ga4 (PBE)

Data for an optimized crystal structure of PmSm3Ga4. Values from VASP.

Energy relative to the elements in eV/atom: -0.441
DOS at the Fermi energy in states/eV per cell: 6.1
Final energy in eV/atom: -4.317
Spin magnetization in Bohr magnetons per cell: 0.0
Calculated volume in Å³/atom: 26.8

```
&SYSTEM
  ibrav = 0, nat = 8, ntyp = 3
/
ATOMIC_SPECIES
Pm 145.00 Pm.upf
Sm 150.36 Sm.upf
Ga 69.72 Ga.upf
CELL_PARAMETERS angstrom
3.6616 0.0000 0.0000
0.0000 6.8439 -0.8021
-1.8308 -2.4345 8.8255
ATOMIC_POSITIONS crystal
Pm 0.5000 0.0000 0.0000
Sm 0.0000 0.5000 0.0000
Sm 0.2022 0.2023 0.4044
Sm 0.7978 0.7977 0.5956
Ga 0.3699 0.5598 0.7398
Ga 0.6301 0.4402 0.2602
Ga 0.6301 0.8204 0.2603
Ga 0.3699 0.1796 0.7397
```



8.
## Nd2SnCl (PBE)

Data for an optimized crystal structure of Nd2SnCl. Values from VASP.

DOS at the Fermi energy in states/eV per cell: 2.3
Final energy in eV/atom: -4.488
Spin magnetization in Bohr magnetons per cell: 0.0
Calculated volume in Å³/atom: 29.9

```
&SYSTEM
  ibrav = 0, nat = 4, ntyp = 3
/
ATOMIC_SPECIES
Nd 144.24 Nd.upf
Sn 118.71 Sn.upf
Cl 35.45 Cl.upf
CELL_PARAMETERS angstrom
-0.1390 -3.5710 0.1863
3.0090 -1.9225 -0.2363
2.1273 -1.3172 10.7063
ATOMIC_POSITIONS crystal
Nd 0.0973 0.0973 0.7081
Nd 0.9027 0.9027 0.2919
Sn 0.0000 0.0000 0.0000
Cl 0.5000 0.5000 0.5000
```



> Which formula does entry 2 have?

Sm2MgP



> The lowest DOS at the Fermi energy belongs to which entry?

MnCrCl2